Here is a relaxed structure of Pm3Zn2Cd9 from Alexandria. Energies are from PBE.

Cell lengths 4.8023, 8.6994, 8.6994 Å; angles 75.84, 73.98, 73.98 degrees
Fractional coordinates of all 14 atoms:
Cd: 0.8580 0.4213 0.8627
Cd: 0.1420 0.1373 0.5787
Cd: 0.3617 0.2708 0.0058
Cd: 0.0000 0.5000 0.5000
Cd: 0.6383 0.7292 0.9942
Cd: 0.8580 0.8627 0.4213
Cd: 0.3617 0.0058 0.2708
Cd: 0.6383 0.9942 0.7292
Cd: 0.1420 0.5787 0.1373
Zn: 0.5000 0.6660 0.3340
Zn: 0.5000 0.3340 0.6660
Pm: 0.0000 0.0000 0.0000
Pm: 0.7041 0.2959 0.2959
Pm: 0.2959 0.7041 0.7041

Output
Its space group is Immm (71). For the formation energy, the calculation gives -0.238 eV/atom. The density of states at the Fermi level is 8.17 states/eV/cell. Its spin magnetization is 0.0 Bohr magnetons per cell. The density is 7.935 Mg/m³.